1.
Density functional theory data (PBE-GGA) for crystalline Li4SmN2 at its relaxed geometry.

Cell: 13.074 13.074 13.074 Å, 163.42 163.42 23.53°
Atoms (fractional coordinates):
Li  0.053  0.803  0.250
Li  0.197  0.947  0.250
Li  0.270  0.520  0.750
Li  0.480  0.730  0.750
Li  0.520  0.270  0.250
Li  0.730  0.480  0.250
Li  0.803  0.053  0.750
Li  0.947  0.197  0.750
Sm  0.375  0.625  0.750
Sm  0.625  0.375  0.250
N  0.184  0.434  0.750
N  0.434  0.184  0.250
N  0.566  0.816  0.750
N  0.816  0.566  0.250

total magnetization: 0.07 μB/atom
theoretical density: 3.76 g/cm³
electronic total energy: -0.3436 Ry per atom

=====

2.
Density functional theory data (PBE-GGA) for crystalline Hf2AuO4 at its relaxed geometry.

Cell: 6.560 6.560 6.560 Å, 60.00 60.00 60.00°
Atoms (fractional coordinates):
Hf  0.000  0.000  0.000
Hf  0.000  0.000  0.500
Hf  0.000  0.500  0.000
Hf  0.500  0.000  0.000
Au  0.375  0.375  0.375
Au  0.625  0.625  0.625
O  0.179  0.774  0.774
O  0.226  0.226  0.226
O  0.226  0.226  0.821
O  0.226  0.821  0.226
O  0.774  0.179  0.774
O  0.774  0.774  0.179
O  0.774  0.774  0.774
O  0.821  0.226  0.226

total magnetization: 0.00 μB/atom
theoretical density: 10.28 g/cm³
electronic total energy: -0.6231 Ry per atom

=====

3.
Density functional theory data (PBE-GGA) for crystalline Gd3HoPb2C2 at its relaxed geometry.

Cell: 3.657 3.657 16.278 Å, 90.00 90.00 120.00°
Atoms (fractional coordinates):
Gd  0.000  0.000  0.000
Gd  0.000  0.000  0.334
Gd  0.667  0.333  0.833
Ho  0.667  0.333  0.499
Pb  0.000  0.000  0.665
Pb  0.667  0.333  0.167
C  0.333  0.667  0.418
C  0.333  0.667  0.916

total magnetization: 0.00 μB/atom
theoretical density: 9.47 g/cm³
electronic total energy: -0.4418 Ry per atom

=====

4.
Density functional theory data (PBE-GGA) for crystalline Zr2Al3W4N3 at its relaxed geometry.

Cell: 5.379 5.379 13.704 Å, 101.37 101.37 60.14°
Atoms (fractional coordinates):
Zr  0.039  0.871  0.617
Zr  0.129  0.961  0.883
Zr  0.871  0.039  0.117
Zr  0.961  0.129  0.383
Al  0.084  0.400  0.750
Al  0.400  0.084  0.250
Al  0.431  0.569  0.250
Al  0.569  0.431  0.750
Al  0.600  0.916  0.750
Al  0.916  0.600  0.250
W  0.192  0.372  0.079
W  0.316  0.462  0.421
W  0.372  0.192  0.579
W  0.462  0.316  0.921
W  0.538  0.684  0.079
W  0.628  0.808  0.421
W  0.684  0.538  0.579
W  0.808  0.628  0.921
N  0.000  0.500  0.500
N  0.150  0.701  0.000
N  0.299  0.850  0.500
N  0.500  0.000  0.000
N  0.701  0.150  0.500
N  0.850  0.299  0.000

total magnetization: 0.00 μB/atom
theoretical density: 10.32 g/cm³
electronic total energy: -0.6768 Ry per atom

=====

5.
Density functional theory data (PBE-GGA) for crystalline GdScCSe at its relaxed geometry.

Cell: 3.662 3.662 12.921 Å, 90.00 90.00 120.00°
Atoms (fractional coordinates):
Gd  0.000  0.000  0.159
Gd  0.000  0.000  0.841
Sc  0.333  0.667  0.358
Sc  0.333  0.667  0.642
C  0.667  0.333  0.265
C  0.667  0.333  0.735
Se  0.000  0.000  0.500
Se  0.333  0.667  0.000

total magnetization: 0.00 μB/atom
theoretical density: 6.49 g/cm³
distance to the lowest polymorph of the same formula: 0.002 eV per atom

=====

6.
Density functional theory data (PBE-GGA) for crystalline CsTcAgTeSe2 at its relaxed geometry.

Cell: 8.742 8.742 10.591 Å, 90.00 90.00 154.57°
Atoms (fractional coordinates):
Cs  0.236  0.764  0.750
Cs  0.764  0.236  0.250
Tc  0.000  0.000  0.000
Tc  0.000  0.000  0.500
Ag  0.451  0.549  0.250
Ag  0.549  0.451  0.750
Te  0.068  0.932  0.250
Te  0.932  0.068  0.750
Se  0.397  0.603  0.025
Se  0.397  0.603  0.475
Se  0.603  0.397  0.525
Se  0.603  0.397  0.975

total magnetization: 0.40 μB/atom
theoretical density: 5.97 g/cm³
distance to the lowest polymorph of the same formula: 0.082 eV per atom

=====

7.
Density functional theory data (PBE-GGA) for crystalline PtF4 at its relaxed geometry.

Cell: 4.231 3.127 4.260 Å, 90.00 97.66 90.00°
Atoms (fractional coordinates):
Pt  0.000  0.000  0.000
F  0.237  0.500  0.205
F  0.292  0.000  0.686
F  0.708  0.000  0.314
F  0.763  0.500  0.795

total magnetization: 0.00 μB/atom
theoretical density: 8.06 g/cm³
distance to the lowest polymorph of the same formula: 0.035 eV per atom

=====

8.
Density functional theory data (PBE-GGA) for crystalline Y2SiNi2 at its relaxed geometry.

Cell: 7.288 7.288 7.288 Å, 150.82 150.82 41.73°
Atoms (fractional coordinates):
Y  0.110  0.110  0.000
Y  0.890  0.890  0.000
Si  0.500  0.500  0.000
Ni  0.250  0.750  0.500
Ni  0.750  0.250  0.500

total magnetization: 0.00 μB/atom
theoretical density: 5.85 g/cm³
electronic total energy: -0.4386 Ry per atom

=====

9.
Density functional theory data (PBE-GGA) for crystalline BaIrO3 at its relaxed geometry.

Cell: 4.545 6.037 7.127 Å, 90.00 103.24 90.00°
Atoms (fractional coordinates):
Ba  0.182  0.250  0.309
Ba  0.818  0.750  0.691
Ir  0.478  0.250  0.790
Ir  0.522  0.750  0.210
O  0.175  0.750  0.037
O  0.290  0.006  0.666
O  0.290  0.494  0.666
O  0.710  0.506  0.334
O  0.710  0.994  0.334
O  0.825  0.250  0.963

total magnetization: 0.20 μB/atom
theoretical density: 6.59 g/cm³
electronic total energy: -0.4767 Ry per atom

=====

10.
Density functional theory data (PBE-GGA) for crystalline In10IrS10 at its relaxed geometry.

Cell: 11.528 12.047 7.751 Å, 90.00 90.00 90.00°
Atoms (fractional coordinates):
In  0.000  0.000  0.215
In  0.000  0.000  0.785
In  0.126  0.418  0.251
In  0.126  0.418  0.749
In  0.136  0.722  0.500
In  0.145  0.666  0.000
In  0.355  0.166  0.000
In  0.364  0.222  0.500
In  0.374  0.918  0.251
In  0.374  0.918  0.749
In  0.500  0.500  0.215
In  0.500  0.500  0.785
In  0.626  0.082  0.251
In  0.626  0.082  0.749
In  0.636  0.778  0.500
In  0.645  0.834  0.000
In  0.855  0.334  0.000
In  0.864  0.278  0.500
In  0.874  0.582  0.251
In  0.874  0.582  0.749
Ir  0.000  0.500  0.000
Ir  0.500  0.000  0.000
S  0.080  0.279  0.500
S  0.117  0.116  0.000
S  0.163  0.831  0.229
S  0.163  0.831  0.771
S  0.227  0.539  0.500
S  0.273  0.039  0.500
S  0.337  0.331  0.229
S  0.337  0.331  0.771
S  0.383  0.616  0.000
S  0.420  0.779  0.500
S  0.580  0.221  0.500
S  0.617  0.384  0.000
S  0.663  0.669  0.229
S  0.663  0.669  0.771
S  0.727  0.961  0.500
S  0.773  0.461  0.500
S  0.837  0.169  0.229
S  0.837  0.169  0.771
S  0.883  0.884  0.000
S  0.920  0.721  0.500

total magnetization: 0.04 μB/atom
theoretical density: 5.13 g/cm³
electronic total energy: -0.3044 Ry per atom

=====

11.
Density functional theory data (PBE-GGA) for crystalline Cs2ZnAgC5S5N5 at its relaxed geometry.

Cell: 10.854 5.913 13.336 Å, 90.00 90.00 90.00°
Atoms (fractional coordinates):
Cs  0.232  0.007  0.000
Cs  0.268  0.993  0.500
Cs  0.732  0.993  0.500
Cs  0.768  0.007  0.000
Zn  0.000  0.986  0.261
Zn  0.500  0.014  0.761
Ag  0.000  0.477  0.679
Ag  0.500  0.523  0.179
C  0.000  0.017  0.782
C  0.000  0.351  0.093
C  0.000  0.356  0.425
C  0.210  0.628  0.258
C  0.290  0.372  0.758
C  0.500  0.644  0.925
C  0.500  0.649  0.593
C  0.500  0.983  0.282
C  0.710  0.372  0.758
C  0.790  0.628  0.258
S  0.000  0.040  0.660
S  0.000  0.553  0.012
S  0.000  0.591  0.488
S  0.206  0.598  0.759
S  0.294  0.402  0.259
S  0.500  0.409  0.988
S  0.500  0.447  0.512
S  0.500  0.960  0.160
S  0.706  0.402  0.259
S  0.794  0.598  0.759
N  0.000  0.179  0.383
N  0.000  0.190  0.147
N  0.000  0.999  0.871
N  0.148  0.793  0.260
N  0.352  0.207  0.760
N  0.500  0.001  0.371
N  0.500  0.810  0.647
N  0.500  0.821  0.883
N  0.648  0.207  0.760
N  0.852  0.793  0.260

theoretical density: 2.83 g/cm³
electronic total energy: -0.4533 Ry per atom

=====

12.
Density functional theory data (PBE-GGA) for crystalline NdMgCuSeS2 at its relaxed geometry.

Cell: 6.549 6.549 10.849 Å, 90.00 90.00 146.27°
Atoms (fractional coordinates):
Nd  0.000  0.000  0.000
Nd  0.000  0.000  0.500
Mg  0.221  0.779  0.750
Mg  0.779  0.221  0.250
Cu  0.477  0.523  0.250
Cu  0.523  0.477  0.750
Se  0.107  0.893  0.250
Se  0.893  0.107  0.750
S  0.354  0.646  0.091
S  0.354  0.646  0.409
S  0.646  0.354  0.591
S  0.646  0.354  0.909

total magnetization: 0.00 μB/atom
theoretical density: 4.82 g/cm³
electronic total energy: -0.3565 Ry per atom

=====

13.
Density functional theory data (PBE-GGA) for crystalline TlCoReNi at its relaxed geometry.

Cell: 4.334 4.334 4.334 Å, 60.00 60.00 60.00°
Atoms (fractional coordinates):
Tl  0.000  0.000  0.000
Co  0.250  0.250  0.250
Re  0.500  0.500  0.500
Ni  0.750  0.750  0.750

total magnetization: 0.23 μB/atom
theoretical density: 14.66 g/cm³
distance to the lowest polymorph of the same formula: 0.000 eV per atom

=====

14.
Density functional theory data (PBE-GGA) for crystalline Li4AlZnGa2 at its relaxed geometry.

Cell: 4.340 4.340 6.137 Å, 90.00 90.00 90.00°
Atoms (fractional coordinates):
Li  0.000  0.000  0.000
Li  0.000  0.500  0.739
Li  0.500  0.000  0.261
Li  0.500  0.500  0.500
Al  0.500  0.500  0.000
Zn  0.000  0.000  0.500
Ga  0.000  0.500  0.254
Ga  0.500  0.000  0.746

theoretical density: 3.73 g/cm³
electronic total energy: -0.1940 Ry per atom

=====

15.
Density functional theory data (PBE-GGA) for crystalline SrIrNO2 at its relaxed geometry.

Cell: 7.978 5.568 5.616 Å, 90.00 90.00 90.00°
Atoms (fractional coordinates):
Sr  0.000  0.221  0.000
Sr  0.000  0.779  0.500
Sr  0.500  0.231  0.946
Sr  0.500  0.769  0.446
Ir  0.253  0.284  0.475
Ir  0.253  0.716  0.975
Ir  0.747  0.284  0.475
Ir  0.747  0.716  0.975
N  0.298  0.475  0.203
N  0.298  0.525  0.703
N  0.702  0.475  0.203
N  0.702  0.525  0.703
O  0.000  0.336  0.437
O  0.000  0.664  0.937
O  0.215  0.028  0.751
O  0.215  0.972  0.251
O  0.500  0.182  0.491
O  0.500  0.818  0.991
O  0.785  0.028  0.751
O  0.785  0.972  0.251

total magnetization: 0.00 μB/atom
theoretical density: 8.68 g/cm³
electronic total energy: -0.4987 Ry per atom

=====

16.
Density functional theory data (PBE-GGA) for crystalline ErBiSO2 at its relaxed geometry.

Cell: 3.843 3.843 6.720 Å, 90.00 90.00 120.00°
Atoms (fractional coordinates):
Er  0.000  0.000  0.000
Bi  0.667  0.333  0.441
S  0.333  0.667  0.731
O  0.000  0.000  0.334
O  0.667  0.333  0.082

total magnetization: 0.00 μB/atom
theoretical density: 8.51 g/cm³
electronic total energy: -0.4849 Ry per atom

=====

17.
Density functional theory data (PBE-GGA) for crystalline CsZr2O4 at its relaxed geometry.

Cell: 6.905 6.905 6.905 Å, 60.00 60.00 60.00°
Atoms (fractional coordinates):
Cs  0.125  0.125  0.125
Cs  0.875  0.875  0.875
Zr  0.000  0.500  0.500
Zr  0.500  0.000  0.500
Zr  0.500  0.500  0.000
Zr  0.500  0.500  0.500
O  0.278  0.278  0.278
O  0.278  0.278  0.666
O  0.278  0.666  0.278
O  0.334  0.722  0.722
O  0.666  0.278  0.278
O  0.722  0.334  0.722
O  0.722  0.722  0.334
O  0.722  0.722  0.722

total magnetization: 0.01 μB/atom
theoretical density: 5.41 g/cm³
electronic total energy: -0.5845 Ry per atom

=====

18.
Density functional theory data (PBE-GGA) for crystalline K2Pm at its relaxed geometry.

Cell: 7.453 7.453 7.453 Å, 60.00 60.00 60.00°
Atoms (fractional coordinates):
K  0.000  0.000  0.000
K  0.000  0.000  0.500
K  0.000  0.500  0.000
K  0.500  0.000  0.000
Pm  0.375  0.375  0.375
Pm  0.625  0.625  0.625

total magnetization: 0.41 μB/atom
theoretical density: 2.53 g/cm³
electronic total energy: -0.1234 Ry per atom

=====

19.
Density functional theory data (PBE-GGA) for crystalline Tm2CuGe2Au at its relaxed geometry.

Cell: 4.365 4.365 7.104 Å, 90.00 90.00 120.00°
Atoms (fractional coordinates):
Tm  0.000  0.000  0.000
Tm  0.000  0.000  0.491
Cu  0.667  0.333  0.202
Ge  0.333  0.667  0.272
Ge  0.667  0.333  0.796
Au  0.333  0.667  0.700

total magnetization: 0.00 μB/atom
theoretical density: 10.53 g/cm³
electronic total energy: -0.3621 Ry per atom